1.
A geometry-optimized TbSm2YTm2 structure. Source: Alexandria, functional PBE.

Cell lengths 7.0334, 9.7019, 5.6162 Å; angles 90.00, 90.00, 90.00 degrees
With the nearest neighbours (Å) after each atom.
Positions (direct):
Tb 0.0000 0.0000 0.0000  2 Y 3.52, 6 Sm 3.68-3.69, 6 Tm 3.68-3.69
Tb 0.5000 0.5000 0.5000  2 Y 3.52, 6 Sm 3.68-3.69, 6 Tm 3.68-3.69
Sm 0.2494 0.3332 0.0000  5 Tm 3.23-3.52
Sm 0.2506 0.8332 0.5000  5 Tm 3.23-3.52
Sm 0.7494 0.1668 0.5000  5 Tm 3.23-3.52
Sm 0.7506 0.6668 0.0000  5 Tm 3.23-3.52
Y 0.0000 0.5000 0.5000  2 Tb 3.52, 6 Tm 3.68-3.69, 6 Sm 3.68-3.69
Y 0.5000 0.0000 0.0000  2 Tb 3.52, 6 Tm 3.68-3.69, 6 Sm 3.68-3.69
Tm 0.2497 0.1665 0.5000  5 Sm 3.23-3.52
Tm 0.2503 0.6665 0.0000  5 Sm 3.23-3.52
Tm 0.7497 0.3335 0.0000  5 Sm 3.23-3.52
Tm 0.7503 0.8335 0.5000  5 Sm 3.23-3.52

**Fermi-level density of states**: 1.87 states/eV/atom
**Crystal system**: orthorhombic
**ΔE_f**: 0.0664 eV per atom

=====

2.
A geometry-optimized InH4Pd7 structure. Source: Alexandria, functional PBE.

Cell lengths 5.7730, 5.7730, 7.5583 Å; angles 125.85, 125.85, 56.16 degrees
With the nearest neighbours (Å) after each atom.
Positions (direct):
In 0.0000 0.0000 0.0000  8 Pd 2.72-2.86
H 0.2761 0.2761 0.7484  3 Pd 1.70-1.75
H 0.4163 0.4163 0.5023  3 Pd 1.72-1.77, 1 H 1.73
H 0.5837 0.5837 0.4977  3 Pd 1.72-1.77, 1 H 1.73
H 0.7239 0.7239 0.2516  3 Pd 1.70-1.75
Pd 0.1069 0.1069 0.7432  1 H 1.70
Pd 0.2408 0.2408 0.4878  2 H 1.72-1.75
Pd 0.3622 0.3622 0.2268  2 H 1.77
Pd 0.5000 0.5000 0.0000  2 H 1.75
Pd 0.6378 0.6378 0.7732  2 H 1.77
Pd 0.7592 0.7592 0.5122  2 H 1.72-1.75
Pd 0.8931 0.8931 0.2568  1 H 1.70

**Fermi-level density of states**: 0.37 states/eV/atom
**Crystal system**: monoclinic

=====

3.
A geometry-optimized LaDyTm2Tl4 structure. Source: Alexandria, functional PBE.

Cell lengths 9.4156, 9.4156, 9.4156 Å; angles 33.35, 33.35, 33.35 degrees
With the nearest neighbours (Å) after each atom.
Positions (direct):
La 0.0000 0.0000 0.0000  8 Tl 3.34-3.39
Dy 0.5000 0.5000 0.5000  8 Tl 3.26-3.29
Tm 0.2492 0.2492 0.2492  8 Tl 3.25-3.43
Tm 0.7508 0.7508 0.7508  8 Tl 3.25-3.43
Tl 0.1274 0.1274 0.1274  4 Tm 3.25-3.33, 3 Dy 3.29, 1 La 3.39
Tl 0.3778 0.3778 0.3778  1 Dy 3.26, 4 Tm 3.29-3.43, 3 La 3.34
Tl 0.6222 0.6222 0.6222  1 Dy 3.26, 4 Tm 3.29-3.43, 3 La 3.34
Tl 0.8726 0.8726 0.8726  4 Tm 3.25-3.33, 3 Dy 3.29, 1 La 3.39

**Fermi-level density of states**: 0.82 states/eV/atom
**Crystal system**: trigonal
**ΔE_f**: -0.3323 eV per atom

=====

4.
A geometry-optimized Zn3Ag8Hg2 structure. Source: Alexandria, functional PBE.

Cell lengths 9.4723, 2.9508, 9.6613 Å; angles 90.00, 117.56, 90.00 degrees
With the nearest neighbours (Å) after each atom.
Positions (direct):
Zn 0.0000 0.0000 0.0000  6 Ag 2.69-2.86, 6 Zn 2.93-2.95
Zn 0.0694 0.5000 0.7771  7 Ag 2.71-2.92, 4 Zn 2.93-2.95
Zn 0.9306 0.5000 0.2229  7 Ag 2.71-2.92, 4 Zn 2.93-2.95
Ag 0.1652 0.5000 0.5525  2 Zn 2.71-2.92, 5 Ag 2.81-2.95, 2 Hg 2.99
Ag 0.2018 0.0000 0.3078  3 Zn 2.69-2.74, 2 Hg 2.91-3.01, 6 Ag 2.94-2.99
Ag 0.2883 0.5000 0.0879  3 Zn 2.75-2.86, 6 Ag 2.90-2.99, 2 Hg 2.98
Ag 0.3482 0.0000 0.8617  2 Zn 2.80, 1 Hg 2.88, 7 Ag 2.88-3.05
Ag 0.6518 0.0000 0.1383  2 Zn 2.80, 1 Hg 2.88, 7 Ag 2.88-3.05
Ag 0.7117 0.5000 0.9121  3 Zn 2.75-2.86, 6 Ag 2.90-2.99, 2 Hg 2.98
Ag 0.7982 0.0000 0.6922  3 Zn 2.69-2.74, 2 Hg 2.91-3.01, 6 Ag 2.94-2.99
Ag 0.8348 0.5000 0.4475  2 Zn 2.71-2.92, 5 Ag 2.81-2.95, 2 Hg 2.99
Hg 0.4685 0.0000 0.6371  7 Ag 2.88-3.01, 3 Hg 2.95-2.97
Hg 0.5315 0.0000 0.3629  7 Ag 2.88-3.01, 3 Hg 2.95-2.97

**Fermi-level density of states**: 0.24 states/eV/atom
**Crystal system**: monoclinic
**ΔE_f**: 0.0462 eV per atom

=====

5.
A geometry-optimized MgCd3C structure. Source: Alexandria, functional PBE.

Cell lengths 4.7258, 4.7258, 4.7258 Å; angles 90.00, 90.00, 90.00 degrees
With the nearest neighbours (Å) after each atom.
Positions (direct):
Mg 0.0000 0.0000 0.0000  12 Cd 3.34
Cd 0.0000 0.5000 0.5000  2 C 2.36
Cd 0.5000 0.0000 0.5000  2 C 2.36
Cd 0.5000 0.5000 0.0000  2 C 2.36
C 0.5000 0.5000 0.5000  6 Cd 2.36

**Offset from the most stable computed form**: 0.0000 eV per atom
**Fermi-level density of states**: 0.35 states/eV/atom
**Crystal system**: cubic
**ΔE_f**: 0.7618 eV per atom

=====

6.
A geometry-optimized LaSmYTh2 structure. Source: Alexandria, functional PBE.

Cell lengths 8.6188, 8.6188, 6.7533 Å; angles 90.00, 90.00, 133.92 degrees
With the nearest neighbours (Å) after each atom.
Positions (direct):
La 0.2468 0.7532 0.7500  4 Y 3.70-3.74, 4 Sm 3.70-3.75
La 0.7532 0.2468 0.2500  4 Y 3.70-3.74, 4 Sm 3.70-3.75
Sm 0.3498 0.6502 0.2500  1 Y 3.15, 4 Th 3.38
Sm 0.6502 0.3498 0.7500  1 Y 3.15, 4 Th 3.38
Y 0.1509 0.8491 0.2500  1 Sm 3.15, 4 Th 3.38
Y 0.8491 0.1509 0.7500  1 Sm 3.15, 4 Th 3.38
Th 0.2491 0.2491 0.0000  4 Th 3.36-3.39, 2 Sm 3.38, 2 Y 3.38
Th 0.2491 0.2491 0.5000  4 Th 3.36-3.39, 2 Sm 3.38, 2 Y 3.38
Th 0.7509 0.7509 0.0000  4 Th 3.36-3.39, 2 Sm 3.38, 2 Y 3.38
Th 0.7509 0.7509 0.5000  4 Th 3.36-3.39, 2 Sm 3.38, 2 Y 3.38

**Fermi-level density of states**: 1.64 states/eV/atom
**Crystal system**: orthorhombic
**ΔE_f**: 0.3597 eV per atom

=====

7.
A geometry-optimized NaCa3Tc structure. Source: Alexandria, functional PBE.

Cell lengths 5.7072, 5.7072, 5.7072 Å; angles 90.00, 90.00, 90.00 degrees
With the nearest neighbours (Å) after each atom.
Positions (direct):
Na 0.0000 0.0000 0.0000  6 Ca 2.85
Ca 0.0000 0.0000 0.5000  2 Na 2.85
Ca 0.0000 0.5000 0.0000  2 Na 2.85
Ca 0.5000 0.0000 0.0000  2 Na 2.85
Tc 0.5000 0.5000 0.5000  12 Ca 4.04

**Offset from the most stable computed form**: 0.8408 eV per atom
**Fermi-level density of states**: 2.41 states/eV/atom
**Crystal system**: cubic
**ΔE_f**: 1.2713 eV per atom

=====

8.
A geometry-optimized CaTb3Sm3 structure. Source: Alexandria, functional PBE.

Cell lengths 9.0793, 9.0793, 9.0793 Å; angles 57.36, 57.36, 57.36 degrees
With the nearest neighbours (Å) after each atom.
Positions (direct):
Ca 0.1548 0.1548 0.1548  6 Tb 3.57-3.85, 6 Sm 3.76-3.94
Ca 0.8452 0.8452 0.8452  6 Tb 3.57-3.85, 6 Sm 3.76-3.94
Tb 0.2176 0.6731 0.4330  4 Tb 3.32-3.44, 4 Sm 3.35-3.66, 1 Ca 3.57
Tb 0.3269 0.5670 0.7824  4 Tb 3.32-3.44, 4 Sm 3.35-3.66, 1 Ca 3.57
Tb 0.4330 0.2176 0.6731  4 Tb 3.32-3.44, 4 Sm 3.35-3.66, 1 Ca 3.57
Tb 0.5670 0.7824 0.3269  4 Tb 3.32-3.44, 4 Sm 3.35-3.66, 1 Ca 3.57
Tb 0.6731 0.4330 0.2176  4 Tb 3.32-3.44, 4 Sm 3.35-3.66, 1 Ca 3.57
Tb 0.7824 0.3269 0.5670  4 Tb 3.32-3.44, 4 Sm 3.35-3.66, 1 Ca 3.57
Sm 0.0702 0.5658 0.2321  4 Tb 3.35-3.66, 2 Sm 3.63
Sm 0.2321 0.0702 0.5658  4 Tb 3.35-3.66, 2 Sm 3.63
Sm 0.4342 0.7679 0.9298  4 Tb 3.35-3.66, 2 Sm 3.63
Sm 0.5658 0.2321 0.0702  4 Tb 3.35-3.66, 2 Sm 3.63
Sm 0.7679 0.9298 0.4342  4 Tb 3.35-3.66, 2 Sm 3.63
Sm 0.9298 0.4342 0.7679  4 Tb 3.35-3.66, 2 Sm 3.63

**Fermi-level density of states**: 1.59 states/eV/atom
**Crystal system**: trigonal
**ΔE_f**: 0.2247 eV per atom

=====

9.
A geometry-optimized CsK3Tl3 structure. Source: Alexandria, functional PBE.

Cell lengths 11.1226, 11.1226, 11.1226 Å; angles 48.96, 48.96, 48.96 degrees
With the nearest neighbours (Å) after each atom.
Positions (direct):
Cs 0.0760 0.0760 0.0760  6 Tl 4.10-4.11, 1 Cs 4.45
Cs 0.9240 0.9240 0.9240  6 Tl 4.10-4.11, 1 Cs 4.45
K 0.1013 0.6014 0.6014  4 Tl 3.79-3.81
K 0.3986 0.3986 0.8987  4 Tl 3.79-3.81
K 0.3986 0.8987 0.3986  4 Tl 3.79-3.81
K 0.6014 0.1013 0.6014  4 Tl 3.79-3.81
K 0.6014 0.6014 0.1013  4 Tl 3.79-3.81
K 0.8987 0.3986 0.3986  4 Tl 3.79-3.81
Tl 0.2155 0.2155 0.5679  4 Tl 3.25-3.45
Tl 0.2155 0.5679 0.2155  4 Tl 3.25-3.45
Tl 0.4321 0.7845 0.7845  4 Tl 3.25-3.45
Tl 0.5679 0.2155 0.2155  4 Tl 3.25-3.45
Tl 0.7845 0.4321 0.7845  4 Tl 3.25-3.45
Tl 0.7845 0.7845 0.4321  4 Tl 3.25-3.45

**Fermi-level density of states**: 0.76 states/eV/atom
**Crystal system**: trigonal
**ΔE_f**: -0.0634 eV per atom

=====

10.
A geometry-optimized LiTl2Cd structure. Source: Alexandria, functional PBE.

Cell lengths 6.0719, 6.0719, 3.3513 Å; angles 103.92, 103.92, 113.33 degrees
With the nearest neighbours (Å) after each atom.
Positions (direct):
Li 0.0000 0.0000 0.0000  4 Tl 3.09, 2 Cd 3.34, 2 Li 3.35
Tl 0.0000 0.5000 0.5000  2 Cd 3.09, 2 Li 3.09, 4 Tl 3.34-3.35
Tl 0.5000 0.0000 0.5000  2 Cd 3.09, 2 Li 3.09, 4 Tl 3.34-3.35
Cd 0.5000 0.5000 0.0000  4 Tl 3.09, 2 Li 3.34, 2 Cd 3.35

**Fermi-level density of states**: 0.32 states/eV/atom
**Crystal system**: monoclinic
**ΔE_f**: -0.0419 eV per atom

=====

11.
A geometry-optimized SiAg2Cl structure. Source: Alexandria, functional PBE.

Cell lengths 5.4775, 5.4775, 5.4775 Å; angles 136.26, 136.26, 63.57 degrees
With the nearest neighbours (Å) after each atom.
Positions (direct):
Si 0.0000 0.0000 0.0000  4 Cl 2.89, 8 Ag 3.10
Ag 0.2500 0.7500 0.5000  4 Ag 2.89, 4 Cl 3.10, 4 Si 3.10
Ag 0.7500 0.2500 0.5000  4 Ag 2.89, 4 Cl 3.10, 4 Si 3.10
Cl 0.5000 0.5000 0.0000  4 Si 2.89, 8 Ag 3.10

**Offset from the most stable computed form**: 0.3788 eV per atom
**Fermi-level density of states**: 0.30 states/eV/atom
**Formation energy (no corrections)**: 398 meV/atom
**Crystal system**: tetragonal

=====

12.
A geometry-optimized Y2Ho2Ag3 structure. Source: Alexandria, functional PBE.

Cell lengths 5.0854, 5.0854, 8.8070 Å; angles 106.98, 106.98, 59.88 degrees
With the nearest neighbours (Å) after each atom.
Positions (direct):
Y 0.1263 0.1263 0.3797  5 Ag 3.09-3.15
Y 0.8737 0.8737 0.6203  5 Ag 3.09-3.15
Ho 0.3768 0.3768 0.1304  7 Ag 3.08-3.13
Ho 0.6232 0.6232 0.8696  7 Ag 3.08-3.13
Ag 0.0000 0.0000 0.0000  6 Ho 3.13, 2 Y 3.15
Ag 0.2516 0.2516 0.7527  4 Ho 3.08-3.13, 4 Y 3.09-3.14
Ag 0.7484 0.7484 0.2473  4 Ho 3.08-3.13, 4 Y 3.09-3.14

**Fermi-level density of states**: 0.93 states/eV/atom
**Crystal system**: monoclinic
**ΔE_f**: -0.1694 eV per atom

=====

Calculated density values, unit g/cm³, following the record order: 7.7 9.2 10.8 10.1 5.9 7.7 2.2 6.5 4.0 8.6 6.0 7.4.
Calculated total energy values, unit eV per atom, following the record order: -4.846 -4.373 -3.825 -2.049 -1.951 -5.830 -2.267 -4.068 -1.670 -1.932 -2.846 -4.546.